{"formula": "Mn3ReH", "functional": "GGA-PBE", "state": "relaxed", "total_magnetization_mub_per_atom": 0.096, "polymorph_energy_ev_per_atom": 0.223, "sg": "P6_3/mmc", "lattice_angstrom": [[2.6910, 0.0000, 0.0000], [-1.3455, 2.3305, 0.0000], [0.0000, 0.0000, 16.3805]], "species": ["Mn", "Mn", "Mn", "Mn", "Mn", "Mn", "Re", "Re", "H", "H"], "frac_coords": [[0.0000, 0.0000, 0.2500], [0.0000, 0.0000, 0.7500], [0.3333, 0.6667, 0.1288], [0.3333, 0.6667, 0.3712], [0.6667, 0.3333, 0.6288], [0.6667, 0.3333, 0.8712], [0.0000, 0.0000, 0.0000], [0.0000, 0.0000, 0.5000], [0.3333, 0.6667, 0.2500], [0.6667, 0.3333, 0.7500]]}

---

{"formula": "Mn3ReH", "functional": "GGA-PBE", "state": "relaxed", "total_magnetization_mub_per_atom": 0.000, "polymorph_energy_ev_per_atom": 0.298, "sg": "Pnma", "lattice_angstrom": [[4.6954, 0.0000, 0.0000], [0.0000, 6.1901, 0.0000], [0.0000, 0.0000, 7.0782]], "species": ["Mn", "Mn", "Mn", "Mn", "Mn", "Mn", "Mn", "Mn", "Mn", "Mn", "Mn", "Mn", "Re", "Re", "Re", "Re", "H", "H", "H", "H"], "frac_coords": [[0.0285, 0.0836, 0.1473], [0.0285, 0.4164, 0.1473], [0.1895, 0.2500, 0.7960], [0.3105, 0.7500, 0.2960], [0.4715, 0.5836, 0.6473], [0.4715, 0.9164, 0.6473], [0.5285, 0.0836, 0.3527], [0.5285, 0.4164, 0.3527], [0.6895, 0.2500, 0.7040], [0.8105, 0.7500, 0.2040], [0.9715, 0.5836, 0.8527], [0.9715, 0.9164, 0.8527], [0.0000, 0.0000, 0.5000], [0.0000, 0.5000, 0.5000], [0.5000, 0.0000, 0.0000], [0.5000, 0.5000, 0.0000], [0.2384, 0.7500, 0.0328], [0.2616, 0.2500, 0.5328], [0.7384, 0.7500, 0.4672], [0.7616, 0.2500, 0.9672]]}

---

{"formula": "Mn3ReH", "functional": "GGA-PBE", "state": "relaxed", "total_magnetization_mub_per_atom": 0.008, "polymorph_energy_ev_per_atom": 0.036, "sg": "P1", "lattice_angstrom": [[4.5583, 0.0000, 0.0000], [-2.2753, 4.4111, 0.0000], [-0.0157, -1.5545, 4.9892]], "species": ["Mn", "Mn", "Mn", "Mn", "Mn", "Mn", "Re", "Re", "H", "H"], "frac_coords": [[0.0000, 0.0000, 0.0000], [0.0008, 0.0149, 0.5147], [0.0849, 0.5306, 0.8834], [0.4827, 0.0075, 0.2540], [0.4844, 0.9990, 0.7570], [0.5749, 0.5214, 0.6382], [0.0861, 0.5277, 0.3928], [0.5762, 0.5284, 0.1261], [0.7642, 0.2462, 0.5777], [0.7814, 0.2327, 0.0510]]}

---

{"formula": "Mn3ReH", "functional": "GGA-PBE", "state": "relaxed", "total_magnetization_mub_per_atom": 0.006, "polymorph_energy_ev_per_atom": 0.034, "sg": "P1", "lattice_angstrom": [[4.9726, 0.0000, 0.0000], [-2.2019, 4.4637, 0.0000], [-1.3704, -2.2166, 4.5144]], "species": ["Mn", "Mn", "Mn", "Mn", "Mn", "Mn", "Re", "Re", "H", "H"], "frac_coords": [[0.0000, 0.0000, 0.0000], [0.0039, 0.9948, 0.4792], [0.4062, 0.9232, 0.3243], [0.4176, 0.9142, 0.8283], [0.4785, 0.4845, 0.4803], [0.9274, 0.4037, 0.3241], [0.5030, 0.4970, 0.9998], [0.9191, 0.4148, 0.8279], [0.6877, 0.9331, 0.6483], [0.9661, 0.7133, 0.6450]]}

---

{"formula": "Mn3ReH", "functional": "GGA-PBE", "state": "relaxed", "total_magnetization_mub_per_atom": 0.000, "polymorph_energy_ev_per_atom": 0.263, "sg": "R-3", "lattice_angstrom": [[2.2001, 1.2702, 6.4127], [-2.2001, 1.2702, 6.4127], [0.0000, -2.5404, 6.4127]], "species": ["Mn", "Mn", "Mn", "Mn", "Mn", "Mn", "Re", "Re", "H", "H"], "frac_coords": [[0.1245, 0.7625, 0.4571], [0.2375, 0.5429, 0.8755], [0.4571, 0.1245, 0.7625], [0.5429, 0.8755, 0.2375], [0.7625, 0.4571, 0.1245], [0.8755, 0.2375, 0.5429], [0.3332, 0.3332, 0.3332], [0.6668, 0.6668, 0.6668], [0.1633, 0.1633, 0.1633], [0.8367, 0.8367, 0.8367]]}

---

{"formula": "Mn3ReH", "functional": "GGA-PBE", "state": "relaxed", "total_magnetization_mub_per_atom": 0.452, "polymorph_energy_ev_per_atom": 1.366, "sg": "I-4m2", "lattice_angstrom": [[-2.1279, 2.1279, 8.4738], [2.1279, -2.1279, 8.4738], [2.1279, 2.1279, -8.4738]], "species": ["Mn", "Mn", "Mn", "Mn", "Mn", "Mn", "Re", "Re", "H", "H"], "frac_coords": [[0.1673, 0.1673, 0.0000], [0.3760, 0.6217, 0.7543], [0.3783, 0.1326, 0.7543], [0.3783, 0.6240, 0.2457], [0.8327, 0.8327, 0.0000], [0.8674, 0.6217, 0.2457], [0.2500, 0.7500, 0.5000], [0.5000, 0.5000, 0.0000], [0.6358, 0.1358, 0.5000], [0.8642, 0.3642, 0.5000]]}

---

{"formula": "MnReH3", "functional": "GGA-PBE", "state": "relaxed", "total_magnetization_mub_per_atom": 0.316, "polymorph_energy_ev_per_atom": 0.074, "sg": "Pm-3m", "lattice_angstrom": [[3.2277, 0.0000, 0.0000], [0.0000, 3.2277, 0.0000], [0.0000, 0.0000, 3.2277]], "species": ["Mn", "Re", "H", "H", "H"], "frac_coords": [[0.0000, 0.0000, 0.0000], [0.5000, 0.5000, 0.5000], [0.0000, 0.0000, 0.5000], [0.0000, 0.5000, 0.0000], [0.5000, 0.0000, 0.0000]]}

---

{"formula": "MnReH3", "functional": "GGA-PBE", "state": "relaxed", "total_magnetization_mub_per_atom": 0.997, "polymorph_energy_ev_per_atom": 0.000, "sg": "Pm-3m", "lattice_angstrom": [[3.4869, 0.0000, 0.0000], [0.0000, 3.4869, 0.0000], [0.0000, 0.0000, 3.4869]], "species": ["Mn", "Re", "H", "H", "H"], "frac_coords": [[0.0000, 0.0000, 0.0000], [0.5000, 0.5000, 0.5000], [0.0000, 0.5000, 0.5000], [0.5000, 0.0000, 0.5000], [0.5000, 0.5000, 0.0000]]}

---

{"formula": "Mn3ReH", "functional": "GGA-PBE", "state": "relaxed", "total_magnetization_mub_per_atom": 0.156, "polymorph_energy_ev_per_atom": 0.235, "sg": "Cmcm", "lattice_angstrom": [[2.5755, -4.3069, 0.0000], [2.5755, 4.3069, 0.0000], [0.0000, 0.0000, 4.7538]], "species": ["Mn", "Mn", "Mn", "Mn", "Mn", "Mn", "Re", "Re", "H", "H"], "frac_coords": [[0.0000, 0.0000, 0.0000], [0.0000, 0.0000, 0.5000], [0.0842, 0.5133, 0.7500], [0.4867, 0.9158, 0.7500], [0.5133, 0.0842, 0.2500], [0.9158, 0.4867, 0.2500], [0.4310, 0.5690, 0.2500], [0.5690, 0.4310, 0.7500], [0.1361, 0.8639, 0.2500], [0.8639, 0.1361, 0.7500]]}

---

{"formula": "Mn3ReH", "functional": "GGA-PBE", "state": "relaxed", "total_magnetization_mub_per_atom": 0.000, "polymorph_energy_ev_per_atom": 0.013, "sg": "P-1", "lattice_angstrom": [[4.9313, 0.0000, 0.0000], [-2.1972, 4.4830, 0.0000], [-1.3492, -2.1898, 4.4965]], "species": ["Mn", "Mn", "Mn", "Mn", "Mn", "Mn", "Re", "Re", "H", "H"], "frac_coords": [[0.1996, 0.4718, 0.1678], [0.2015, 0.4605, 0.6662], [0.2929, 0.0332, 0.3303], [0.7071, 0.9668, 0.6697], [0.7985, 0.5395, 0.3338], [0.8004, 0.5282, 0.8322], [0.2715, 0.0231, 0.8192], [0.7285, 0.9769, 0.1808], [0.5000, 0.5000, 0.0000], [0.5000, 0.5000, 0.5000]]}

---

{"formula": "Mn3ReH", "functional": "GGA-PBE", "state": "relaxed", "total_magnetization_mub_per_atom": 0.000, "polymorph_energy_ev_per_atom": 0.210, "sg": "C2/c", "lattice_angstrom": [[6.2315, -3.4569, 0.0000], [6.2315, 3.4569, 0.0000], [-1.0521, 0.0000, 4.6997]], "species": ["Mn", "Mn", "Mn", "Mn", "Mn", "Mn", "Mn", "Mn", "Mn", "Mn", "Mn", "Mn", "Re", "Re", "Re", "Re", "H", "H", "H", "H"], "frac_coords": [[0.1002, 0.5309, 0.8609], [0.1068, 0.2130, 0.4937], [0.2130, 0.1068, 0.9937], [0.2293, 0.4330, 0.3449], [0.4330, 0.2293, 0.8449], [0.4691, 0.8998, 0.6391], [0.5309, 0.1002, 0.3609], [0.5670, 0.7707, 0.1551], [0.7707, 0.5670, 0.6551], [0.7870, 0.8932, 0.0063], [0.8932, 0.7870, 0.5063], [0.8998, 0.4691, 0.1391], [0.2068, 0.7932, 0.2500], [0.3829, 0.6171, 0.7500], [0.6171, 0.3829, 0.2500], [0.7932, 0.2068, 0.7500], [0.0261, 0.8269, 0.8599], [0.1731, 0.9739, 0.6401], [0.8269, 0.0261, 0.3599], [0.9739, 0.1731, 0.1401]]}

---

{"formula": "Mn3ReH", "functional": "GGA-PBE", "state": "relaxed", "total_magnetization_mub_per_atom": 0.000, "polymorph_energy_ev_per_atom": 0.029, "sg": "Cc", "lattice_angstrom": [[2.6271, -4.5176, 0.0000], [2.6271, 4.5176, 0.0000], [-2.6269, 0.0000, 4.2256]], "species": ["Mn", "Mn", "Mn", "Mn", "Mn", "Mn", "Re", "Re", "H", "H"], "frac_coords": [[0.0406, 0.4615, 0.4883], [0.0445, 0.9555, 0.5000], [0.4615, 0.0406, 0.9883], [0.5415, 0.9631, 0.5159], [0.9555, 0.0445, 0.0000], [0.9631, 0.5415, 0.0159], [0.4433, 0.5299, 0.9876], [0.5299, 0.4433, 0.4876], [0.0191, 0.7619, 0.7658], [0.7619, 0.0191, 0.2658]]}